1.
First-principles (GGA-PBE) data for an optimized crystal structure of AcHo2Ta, as listed in Alexandria via LeMat-Bulk.

Cell and atoms, written as CIF:
```
data_AcHo2Ta
_symmetry_space_group_name_H-M 'R -3 m'
_symmetry_Int_Tables_number 166
_symmetry_space_group_name_Hall '-R 3 2"'
_cell_length_a 3.3939
_cell_length_b 3.3939
_cell_length_c 35.9984
_cell_angle_alpha 90.00
_cell_angle_beta 90.00
_cell_angle_gamma 120.00
loop_
_atom_site_label
_atom_site_fract_x
_atom_site_fract_y
_atom_site_fract_z
Ac1 0.0000 0.0000 0.0000
Ho1 0.0000 0.0000 0.4197
Ta1 0.0000 0.0000 0.5000
```


2.
First-principles (GGA-PBE) data for an optimized crystal structure of Ac2Tb4Ho3, as listed in Alexandria via LeMat-Bulk.

Cell and atoms, written as CIF:
```
data_Ac2Tb4Ho3
_symmetry_space_group_name_H-M 'F m m m'
_symmetry_Int_Tables_number 69
_symmetry_space_group_name_Hall '-F 2 2'
_cell_length_a 6.212
_cell_length_b 12.439
_cell_length_c 16.368
_cell_angle_alpha 90.00
_cell_angle_beta 90.00
_cell_angle_gamma 90.00
loop_
_atom_site_label
_atom_site_fract_x
_atom_site_fract_y
_atom_site_fract_z
Ac1 0.000 0.000 0.117
Tb1 0.000 0.147 0.313
Ho1 0.000 0.000 0.500
Ho2 0.250 0.250 0.000
```


3.
# Ac2TbHo (GGA-PBE, relaxed)
data_Ac2TbHo
_symmetry_space_group_name_H-M 'P 4/m m m'
_symmetry_Int_Tables_number 123
_symmetry_space_group_name_Hall '-P 4 2'
_cell_length_a 5.453
_cell_length_b 5.453
_cell_length_c 5.055
_cell_angle_alpha 90.00
_cell_angle_beta 90.00
_cell_angle_gamma 90.00
loop_
_atom_site_label
_atom_site_fract_x
_atom_site_fract_y
_atom_site_fract_z
Ac1 0.000 0.500 0.000
Tb1 0.000 0.000 0.500
Ho1 0.500 0.500 0.500
# **Energy above the lowest structure with this stoichiometry**: 0.0000 eV/atom


4.
# AcTb3Ho4 (GGA-PBE, relaxed)
data_AcTb3Ho4
_symmetry_space_group_name_H-M 'C m m m'
_symmetry_Int_Tables_number 65
_symmetry_space_group_name_Hall '-C 2 2'
_cell_length_a 11.856
_cell_length_b 13.380
_cell_length_c 3.453
_cell_angle_alpha 90.00
_cell_angle_beta 90.00
_cell_angle_gamma 90.00
loop_
_atom_site_label
_atom_site_fract_x
_atom_site_fract_y
_atom_site_fract_z
Ac1 0.000 0.000 0.000
Tb1 0.000 0.500 0.000
Tb2 0.250 0.250 0.500
Ho1 0.000 0.260 0.000
Ho2 0.237 0.500 0.500
# **Energy above the lowest structure with this stoichiometry**: 0.2826 eV/atom


5.
First-principles (GGA-PBE) data for an optimized crystal structure of Ac2Tb4Ho, as listed in Alexandria via LeMat-Bulk.

Cell and atoms, written as CIF:
```
data_Ac2Tb4Ho
_symmetry_space_group_name_H-M 'C m m m'
_symmetry_Int_Tables_number 65
_symmetry_space_group_name_Hall '-C 2 2'
_cell_length_a 3.639
_cell_length_b 37.643
_cell_length_c 3.650
_cell_angle_alpha 90.00
_cell_angle_beta 90.00
_cell_angle_gamma 90.00
loop_
_atom_site_label
_atom_site_fract_x
_atom_site_fract_y
_atom_site_fract_z
Ac1 0.000 0.204 0.000
Tb1 0.000 0.065 0.000
Tb2 0.000 0.370 0.500
Ho1 0.000 0.500 0.500
```


6.
First-principles (GGA-PBE) data for an optimized crystal structure of AcTb15Ho4, as listed in Alexandria via LeMat-Bulk.

Cell and atoms, written as CIF:
```
data_AcTb15Ho4
_symmetry_space_group_name_H-M 'P 4/m m m'
_symmetry_Int_Tables_number 123
_symmetry_space_group_name_Hall '-P 4 2'
_cell_length_a 5.052
_cell_length_b 5.052
_cell_length_c 25.286
_cell_angle_alpha 90.00
_cell_angle_beta 90.00
_cell_angle_gamma 90.00
loop_
_atom_site_label
_atom_site_fract_x
_atom_site_fract_y
_atom_site_fract_z
Ac1 0.000 0.000 0.000
Tb1 0.000 0.500 0.105
Tb2 0.000 0.500 0.302
Tb3 0.000 0.500 0.500
Tb4 0.500 0.500 0.000
Tb5 0.500 0.500 0.204
Tb6 0.500 0.500 0.401
Ho1 0.000 0.000 0.203
Ho2 0.000 0.000 0.401
```


7.
First-principles (GGA-PBE) data for an optimized crystal structure of Ac2Tb2Ho15, as listed in Alexandria via LeMat-Bulk.

Cell and atoms, written as CIF:
```
data_Ac2Tb2Ho15
_symmetry_space_group_name_H-M 'R -3 m'
_symmetry_Int_Tables_number 166
_symmetry_space_group_name_Hall '-R 3 2"'
_cell_length_a 11.2687
_cell_length_b 11.2687
_cell_length_c 17.5459
_cell_angle_alpha 90.00
_cell_angle_beta 90.00
_cell_angle_gamma 120.00
loop_
_atom_site_label
_atom_site_fract_x
_atom_site_fract_y
_atom_site_fract_z
Ac1 0.0000 0.0000 0.1138
Tb1 0.0000 0.0000 0.3321
Ho1 0.0000 0.3079 0.0000
Ho2 0.0000 0.5000 0.5000
Ho3 0.0171 0.5086 0.1387
```


8.
# AcTb6Ho12 (GGA-PBE, relaxed)
data_AcTb6Ho12
_symmetry_space_group_name_H-M 'R -3 m'
_symmetry_Int_Tables_number 166
_symmetry_space_group_name_Hall '-R 3 2"'
_cell_length_a 14.9910
_cell_length_b 14.9910
_cell_length_c 10.0733
_cell_angle_alpha 90.00
_cell_angle_beta 90.00
_cell_angle_gamma 120.00
loop_
_atom_site_label
_atom_site_fract_x
_atom_site_fract_y
_atom_site_fract_z
Ac1 0.0000 0.0000 0.0000
Tb1 0.0426 0.5213 0.2120
Ho1 0.0000 0.3899 0.5000
Ho2 0.0721 0.1442 0.3120
# **Energy above the lowest structure with this stoichiometry**: 0.2591 eV/atom


Number 1: E -5.51 eV per atom, DFT formation energy 0.77 eV/atom. Number 2: E -4.31 eV per atom, DFT formation energy 0.19 eV/atom. Number 3: E -4.31 eV per atom, DFT formation energy 0.05 eV/atom. Number 4: E -4.09 eV per atom, DFT formation energy 0.45 eV/atom. Number 5: E -4.38 eV per atom, DFT formation energy 0.09 eV/atom. Number 6: E -4.57 eV per atom, DFT formation energy 0.03 eV/atom. Number 7: E -4.24 eV per atom, DFT formation energy 0.29 eV/atom. Number 8: E -4.15 eV per atom, DFT formation energy 0.42 eV/atom.